Density functional theory data (PBE) for DyYSi2 after structural relaxation.

Cell lengths 3.840, 4.282, 10.549 Å; angles 90.00, 90.00, 90.00 degrees
Positions (direct):
Dy 0.000 0.000 0.000
Dy 0.000 0.500 0.500
Y 0.500 0.000 0.281
Y 0.500 0.500 0.781
Si 0.000 0.000 0.716
Si 0.000 0.500 0.216
Si 0.500 0.000 0.564
Si 0.500 0.500 0.064

Computed properties:
SG   Amm2 (38)
Formation energy without anion corrections   -0.839 eV per atom
Calculated total energy   -50.5 eV per cell

***

Density functional theory data (PBE) for NaMgP3 after structural relaxation.

Cell lengths 4.837, 4.837, 4.837 Å; angles 90.00, 90.00, 90.00 degrees
Positions (direct):
Na 0.000 0.000 0.000
Mg 0.500 0.500 0.500
P 0.000 0.000 0.500
P 0.000 0.500 0.000
P 0.500 0.000 0.000

Computed properties:
SG   Pm-3m (221)
Energy above the most stable polymorph in this dataset   0.5593 eV/atom
Calculated total energy   -13.5 eV per cell
Formation energy   1.13 eV per atom

***

Density functional theory data (PBE) for Sc2Mo2Br after structural relaxation.

Cell lengths 8.039, 8.039, 3.386 Å; angles 90.00, 90.00, 90.00 degrees
Positions (direct):
Sc 0.185 0.315 0.000
Sc 0.315 0.815 0.000
Sc 0.685 0.185 0.000
Sc 0.815 0.685 0.000
Mo 0.096 0.596 0.500
Mo 0.404 0.096 0.500
Mo 0.596 0.904 0.500
Mo 0.904 0.404 0.500
Br 0.000 0.000 0.000
Br 0.500 0.500 0.000

Computed properties:
SG   P4/mbm (127)
Energy above the most stable polymorph in this dataset   0.3232 eV/atom
Formation energy without anion corrections   0.300 eV per atom
Calculated total energy   -69.0 eV per cell

***

Density functional theory data (PBE) for Tc3AsH after structural relaxation.

Cell lengths 3.955, 3.955, 3.955 Å; angles 90.00, 90.00, 90.00 degrees
Positions (direct):
Tc 0.000 0.000 0.500
Tc 0.000 0.500 0.000
Tc 0.500 0.000 0.000
As 0.500 0.500 0.500
H 0.000 0.000 0.000

Computed properties:
SG   Pm-3m (221)
Energy above the most stable polymorph in this dataset   0.0000 eV/atom
Calculated total energy   -37.6 eV per cell

***

Density functional theory data (PBE) for AgBiO2 after structural relaxation.

Cell lengths 12.784, 3.604, 6.701 Å; angles 90.00, 98.22, 90.00 degrees
Positions (direct):
Ag 0.000 0.000 0.000
Ag 0.000 0.500 0.500
Ag 0.500 0.000 0.500
Ag 0.500 0.500 0.000
Bi 0.246 0.000 0.739
Bi 0.254 0.500 0.261
Bi 0.746 0.500 0.739
Bi 0.754 0.000 0.261
O 0.161 0.000 0.116
O 0.164 0.500 0.517
O 0.336 0.000 0.483
O 0.339 0.500 0.884
O 0.661 0.500 0.116
O 0.664 0.000 0.517
O 0.836 0.500 0.483
O 0.839 0.000 0.884

Computed properties:
SG   C2/m (12)
Formation energy without anion corrections   -0.773 eV per atom
Calculated total energy   -79.0 eV per cell

***

Density functional theory data (PBE) for YBiC2 after structural relaxation.

Cell lengths 5.686, 5.686, 9.789 Å; angles 90.00, 90.00, 90.00 degrees
Positions (direct):
Y 0.000 0.000 0.000
Y 0.000 0.500 0.250
Y 0.500 0.000 0.750
Y 0.500 0.500 0.500
Bi 0.000 0.000 0.500
Bi 0.000 0.500 0.750
Bi 0.500 0.000 0.250
Bi 0.500 0.500 0.000
C 0.235 0.250 0.625
C 0.250 0.735 0.875
C 0.250 0.765 0.375
C 0.265 0.250 0.125
C 0.735 0.750 0.125
C 0.750 0.235 0.375
C 0.750 0.265 0.875
C 0.765 0.750 0.625

Computed properties:
SG   I-42d (122)
Calculated total energy   -101.3 eV per cell
Formation energy   0.87 eV per atom

***

Density functional theory data (PBE) for Ca2In5Pb12 after structural relaxation.

Cell lengths 10.415, 10.415, 6.220 Å; angles 106.28, 106.28, 68.29 degrees
Positions (direct):
Ca 0.173 0.827 0.000
Ca 0.827 0.173 0.000
In 0.000 0.000 0.500
In 0.206 0.206 0.504
In 0.357 0.357 0.156
In 0.643 0.643 0.844
In 0.794 0.794 0.496
Pb 0.077 0.534 0.798
Pb 0.147 0.646 0.402
Pb 0.159 0.159 0.965
Pb 0.354 0.853 0.598
Pb 0.429 0.429 0.730
Pb 0.466 0.923 0.202
Pb 0.534 0.077 0.798
Pb 0.571 0.571 0.270
Pb 0.646 0.147 0.402
Pb 0.841 0.841 0.035
Pb 0.853 0.354 0.598
Pb 0.923 0.466 0.202

Computed properties:
SG   C2/m (12)
Calculated total energy   -63.3 eV per cell
Formation energy   -0.06 eV per atom

***

Density functional theory data (PBE) for Na2AcPmS4 after structural relaxation.

Cell lengths 7.128, 4.234, 7.351 Å; angles 90.00, 110.08, 90.00 degrees
Positions (direct):
Na 0.000 0.000 0.000
Na 0.000 0.500 0.500
Ac 0.500 0.000 0.500
Pm 0.500 0.500 0.000
S 0.262 0.500 0.241
S 0.267 0.000 0.766
S 0.733 0.000 0.234
S 0.738 0.500 0.759

Computed properties:
SG   P2/m (10)
Formation energy without anion corrections   -1.801 eV per atom
Calculated total energy   -42.4 eV per cell

***

Density functional theory data (PBE) for Sb2Pd5Pt after structural relaxation.

Cell lengths 4.557, 4.557, 16.304 Å; angles 90.00, 90.00, 120.00 degrees
Positions (direct):
Sb 0.333 0.667 0.088
Sb 0.333 0.667 0.412
Sb 0.667 0.333 0.588
Sb 0.667 0.333 0.912
Pd 0.000 0.000 0.160
Pd 0.000 0.000 0.340
Pd 0.000 0.000 0.660
Pd 0.000 0.000 0.840
Pd 0.333 0.667 0.580
Pd 0.333 0.667 0.750
Pd 0.333 0.667 0.920
Pd 0.667 0.333 0.080
Pd 0.667 0.333 0.250
Pd 0.667 0.333 0.420
Pt 0.333 0.667 0.250
Pt 0.667 0.333 0.750

Computed properties:
SG   P6_3/mmc (194)
Energy above the most stable polymorph in this dataset   0.0543 eV/atom
Formation energy without anion corrections   -0.281 eV per atom
Calculated total energy   -85.0 eV per cell

***

Density functional theory data (PBE) for Ca3NdHg12 after structural relaxation.

Cell lengths 4.701, 4.701, 18.723 Å; angles 90.00, 90.00, 90.00 degrees
Positions (direct):
Ca 0.000 0.000 0.000
Ca 0.000 0.000 0.248
Ca 0.000 0.000 0.752
Nd 0.000 0.000 0.500
Hg 0.000 0.500 0.124
Hg 0.000 0.500 0.375
Hg 0.000 0.500 0.625
Hg 0.000 0.500 0.876
Hg 0.500 0.000 0.124
Hg 0.500 0.000 0.375
Hg 0.500 0.000 0.625
Hg 0.500 0.000 0.876
Hg 0.500 0.500 0.000
Hg 0.500 0.500 0.250
Hg 0.500 0.500 0.500
Hg 0.500 0.500 0.750

Computed properties:
SG   P4/mmm (123)
Calculated total energy   -20.3 eV per cell
Formation energy   -0.37 eV per atom

***

Density functional theory data (PBE) for PrY6Er3Tm2 after structural relaxation.

Cell lengths 6.149, 6.149, 11.787 Å; angles 94.97, 94.97, 119.95 degrees
Positions (direct):
Pr 0.000 0.000 0.000
Y 0.084 0.419 0.252
Y 0.250 0.250 0.748
Y 0.419 0.084 0.252
Y 0.581 0.916 0.748
Y 0.750 0.750 0.252
Y 0.916 0.581 0.748
Er 0.167 0.833 0.500
Er 0.500 0.500 0.500
Er 0.833 0.167 0.500
Tm 0.333 0.667 0.000
Tm 0.667 0.333 0.000

Computed properties:
SG   C2/m (12)
Calculated total energy   -65.9 eV per cell
Formation energy   0.02 eV per atom

***

Density functional theory data (PBE) for YEr2Mg9 after structural relaxation.

Cell lengths 10.264, 10.264, 10.264 Å; angles 34.12, 34.12, 34.12 degrees
Positions (direct):
Y 0.000 0.000 0.000
Er 0.143 0.143 0.143
Er 0.857 0.857 0.857
Mg 0.079 0.587 0.587
Mg 0.334 0.334 0.334
Mg 0.413 0.413 0.921
Mg 0.413 0.921 0.413
Mg 0.500 0.500 0.500
Mg 0.587 0.079 0.587
Mg 0.587 0.587 0.079
Mg 0.666 0.666 0.666
Mg 0.921 0.413 0.413

Computed properties:
SG   R-3m (166)
Calculated total energy   -30.3 eV per cell
Formation energy   -0.03 eV per atom

***

Density functional theory data (PBE) for HfPaMnCo after structural relaxation.

Cell lengths 6.484, 6.484, 6.484 Å; angles 90.00, 90.00, 90.00 degrees
Positions (direct):
Hf 0.000 0.000 0.000
Hf 0.000 0.500 0.500
Hf 0.500 0.000 0.500
Hf 0.500 0.500 0.000
Pa 0.000 0.000 0.500
Pa 0.000 0.500 0.000
Pa 0.500 0.000 0.000
Pa 0.500 0.500 0.500
Mn 0.250 0.250 0.750
Mn 0.250 0.750 0.250
Mn 0.750 0.250 0.250
Mn 0.750 0.750 0.750
Co 0.250 0.250 0.250
Co 0.250 0.750 0.750
Co 0.750 0.250 0.750
Co 0.750 0.750 0.250

Computed properties:
SG   F-43m (216)
Calculated total energy   -144.1 eV per cell
Formation energy   -0.08 eV per atom

***

Density functional theory data (PBE) for ScAl after structural relaxation.

Cell lengths 8.353, 8.353, 4.185 Å; angles 90.00, 90.00, 120.00 degrees
Positions (direct):
Sc 0.165 0.330 0.250
Sc 0.165 0.835 0.250
Sc 0.330 0.165 0.750
Sc 0.670 0.835 0.250
Sc 0.835 0.165 0.750
Sc 0.835 0.670 0.750
Al 0.115 0.557 0.750
Al 0.443 0.557 0.750
Al 0.443 0.885 0.750
Al 0.557 0.115 0.250
Al 0.557 0.443 0.250
Al 0.885 0.443 0.250

Computed properties:
SG   P6_3/mmc (194)
Calculated total energy   -63.0 eV per cell
Formation energy   -0.21 eV per atom

***

Density functional theory data (PBE) for Mn2FeHPd after structural relaxation.

Cell lengths 3.711, 3.711, 3.823 Å; angles 90.00, 90.00, 90.00 degrees
Positions (direct):
Mn 0.000 0.500 0.000
Mn 0.500 0.000 0.000
Fe 0.000 0.000 0.500
H 0.000 0.000 0.000
Pd 0.500 0.500 0.500

Computed properties:
SG   P4/mmm (123)
Energy above the most stable polymorph in this dataset   0.0000 eV/atom
Calculated total energy   -34.9 eV per cell

***

Density functional theory data (PBE) for Nd3Sm2Y7 after structural relaxation.

Cell lengths 5.890, 3.611, 18.978 Å; angles 90.00, 93.20, 90.00 degrees
Positions (direct):
Nd 0.000 0.000 0.000
Nd 0.278 0.500 0.633
Nd 0.722 0.500 0.367
Sm 0.209 0.000 0.293
Sm 0.791 0.000 0.707
Y 0.188 0.500 0.143
Y 0.243 0.000 0.462
Y 0.309 0.000 0.825
Y 0.500 0.500 0.000
Y 0.691 0.000 0.175
Y 0.757 0.000 0.538
Y 0.812 0.500 0.857

Computed properties:
SG   P2/m (10)
Energy above the most stable polymorph in this dataset   0.0000 eV/atom
Calculated total energy   -68.0 eV per cell
Formation energy   0.08 eV per atom

***

Density functional theory data (PBE) for RbLiRuCl6 after structural relaxation.

Cell lengths 6.468, 6.468, 7.350 Å; angles 90.00, 90.00, 120.00 degrees
Positions (direct):
Rb 0.000 0.000 0.000
Li 0.333 0.667 0.500
Ru 0.667 0.333 0.500
Cl 0.381 0.026 0.685
Cl 0.381 0.355 0.315
Cl 0.645 0.026 0.315
Cl 0.645 0.619 0.685
Cl 0.974 0.355 0.685
Cl 0.974 0.619 0.315

Computed properties:
SG   P312 (149)
Formation energy without anion corrections   -1.121 eV per atom
Calculated total energy   -33.3 eV per cell

***

Density functional theory data (PBE) for TiMoPtI2 after structural relaxation.

Cell lengths 5.494, 5.494, 4.937 Å; angles 90.00, 90.00, 90.00 degrees
Positions (direct):
Ti 0.000 0.000 0.000
Mo 0.500 0.500 0.000
Pt 0.000 0.000 0.500
I 0.000 0.500 0.500
I 0.500 0.000 0.500

Computed properties:
SG   P4/mmm (123)
Formation energy without anion corrections   1.138 eV per atom
Calculated total energy   -22.2 eV per cell

***

Density functional theory data (PBE) for Li2LaCeSe4 after structural relaxation.

Cell lengths 6.942, 4.269, 7.392 Å; angles 90.00, 110.76, 90.00 degrees
Positions (direct):
Li 0.000 0.000 0.000
Li 0.000 0.500 0.500
La 0.500 0.000 0.500
Ce 0.500 0.500 0.000
Se 0.240 0.500 0.243
Se 0.241 0.000 0.751
Se 0.759 0.000 0.249
Se 0.760 0.500 0.757

Computed properties:
SG   P2/m (10)
Formation energy without anion corrections   -1.659 eV per atom
Calculated total energy   -41.9 eV per cell

***

Density functional theory data (PBE) for SrMnBe2 after structural relaxation.

Cell lengths 4.784, 4.784, 3.002 Å; angles 90.00, 90.00, 90.00 degrees
Positions (direct):
Sr 0.000 0.000 0.000
Mn 0.500 0.500 0.000
Be 0.000 0.500 0.500
Be 0.500 0.000 0.500

Computed properties:
SG   P4/mmm (123)
Energy above the most stable polymorph in this dataset   0.6549 eV/atom
Calculated total energy   -14.8 eV per cell
Formation energy   0.89 eV per atom

***

Density functional theory data (PBE) for LiCoCuP after structural relaxation.

Cell lengths 3.559, 3.559, 8.296 Å; angles 90.00, 90.00, 90.00 degrees
Positions (direct):
Li 0.250 0.250 0.248
Li 0.750 0.750 0.752
Co 0.250 0.750 0.500
Co 0.750 0.250 0.500
Cu 0.250 0.750 0.000
Cu 0.750 0.250 0.000
P 0.250 0.250 0.658
P 0.750 0.750 0.342

Computed properties:
SG   P4/nmm (129)
Calculated total energy   -39.6 eV per cell
Formation energy   -0.32 eV per atom

***

Density functional theory data (PBE) for MnTlTc after structural relaxation.

Cell lengths 6.021, 6.021, 6.021 Å; angles 90.00, 90.00, 90.00 degrees
Positions (direct):
Mn 0.000 0.000 0.000
Mn 0.000 0.500 0.500
Mn 0.500 0.000 0.500
Mn 0.500 0.500 0.000
Tl 0.250 0.250 0.250
Tl 0.250 0.750 0.750
Tl 0.750 0.250 0.750
Tl 0.750 0.750 0.250
Tc 0.250 0.250 0.750
Tc 0.250 0.750 0.250
Tc 0.750 0.250 0.250
Tc 0.750 0.750 0.750

Computed properties:
SG   F-43m (216)
Energy above the most stable polymorph in this dataset   0.2845 eV/atom
Calculated total energy   -78.7 eV per cell
Formation energy   0.74 eV per atom

***

Density functional theory data (PBE) for Mn2PbS2 after structural relaxation.

Cell lengths 4.528, 4.528, 9.499 Å; angles 90.00, 90.00, 90.00 degrees
Positions (direct):
Mn 0.000 0.000 0.155
Mn 0.000 0.000 0.845
Mn 0.500 0.500 0.345
Mn 0.500 0.500 0.655
Pb 0.000 0.000 0.500
Pb 0.500 0.500 0.000
S 0.000 0.500 0.250
S 0.000 0.500 0.750
S 0.500 0.000 0.250
S 0.500 0.000 0.750

Computed properties:
SG   I4/mmm (139)
Formation energy without anion corrections   -0.052 eV per atom
Calculated total energy   -61.1 eV per cell

***

Density functional theory data (PBE) for Sb2TePd2 after structural relaxation.

Cell lengths 7.705, 7.705, 3.706 Å; angles 90.00, 90.00, 90.00 degrees
Positions (direct):
Sb 0.151 0.349 0.000
Sb 0.349 0.849 0.000
Sb 0.651 0.151 0.000
Sb 0.849 0.651 0.000
Te 0.000 0.000 0.500
Te 0.500 0.500 0.500
Pd 0.132 0.632 0.500
Pd 0.368 0.132 0.500
Pd 0.632 0.868 0.500
Pd 0.868 0.368 0.500

Computed properties:
SG   P4/mbm (127)
Energy above the most stable polymorph in this dataset   0.0000 eV/atom
Formation energy without anion corrections   -0.169 eV per atom
Calculated total energy   -45.2 eV per cell